Entry 1:
Crystalline Pa2TeH2Se at its relaxed geometry, computed with PBE.

Properties
As for the space-group type: P-3m1, No. 164. As for the crystal system: trigonal. Its density of states at the Fermi level is 8.8 states/eV/f.u. The final energy is -6.2152 eV/atom.

Lattice parameters (Å, degrees): 3.9181 3.9181 8.1917 90.00 90.00 120.00
Last column: nearest neighbours and their distance in Å.
Element x y z (fractional)
Pa 0.3333 0.6667 0.2239  3 H 2.27
Pa 0.6667 0.3333 0.7761  3 H 2.27
Te 0.0000 0.0000 0.5000  6 H 3.08, 6 Pa 3.20
H 0.3333 0.6667 0.7548  3 Pa 2.27
H 0.6667 0.3333 0.2452  3 Pa 2.27
Se 0.0000 0.0000 0.0000  6 Pa 2.91, 6 H 3.03



Entry 2:
Crystalline PmBH at its relaxed geometry, computed with PBE.

Properties
As for the space-group type: P2_1/m, No. 11. As for the crystal system: monoclinic. Its density of states at the Fermi level is 1.2 states/eV/f.u. The final energy is -5.3167 eV/atom.

Lattice parameters (Å, degrees): 3.6164 3.1864 7.1754 90.00 104.54 90.00
Last column: nearest neighbours and their distance in Å.
Element x y z (fractional)
Pm 0.1310 0.2500 0.2606  5 H 2.40-2.59, 2 B 2.68
Pm 0.8690 0.7500 0.7394  5 H 2.40-2.59, 2 B 2.68
B 0.4886 0.2500 0.9760  2 B 1.63
B 0.5114 0.7500 0.0240  2 B 1.63
H 0.3046 0.2500 0.6059  5 Pm 2.40-2.59, 1 B 2.57
H 0.6954 0.7500 0.3941  5 Pm 2.40-2.59, 1 B 2.57



Entry 3:
Crystalline Cd2RhI at its relaxed geometry, computed with PBE.

Properties
As for the space-group type: I-42d, No. 122. As for the crystal system: tetragonal. Its density of states at the Fermi level is 0.0 states/eV/f.u. The calculation puts the raw formation energy at 0.37 eV per atom.

Lattice parameters (Å, degrees): 7.8655 7.8655 7.8655 129.59 129.59 74.07
Last column: nearest neighbours and their distance in Å.
Element x y z (fractional)
Cd 0.0628 0.6250 0.9378  2 Rh 2.62
Cd 0.3750 0.3128 0.4378  2 Rh 2.62
Cd 0.6872 0.1250 0.0622  2 Rh 2.62
Cd 0.8750 0.9372 0.5622  2 Rh 2.62
Rh 0.0000 0.0000 0.0000  4 Cd 2.62
Rh 0.7500 0.2500 0.5000  4 Cd 2.62
I 0.2500 0.7500 0.5000  4 Cd 3.11
I 0.5000 0.5000 0.0000  4 Cd 3.11



Entry 4:
Crystalline CsZnBi at its relaxed geometry, computed with PBE.

Properties
The calculated formation energy comes out at -0.2329 eV/atom. As for the space-group type: P1, No. 1. As for the crystal system: triclinic. Its density of states at the Fermi level is 0.0 states/eV/f.u.

Lattice parameters (Å, degrees): 4.6473 7.2944 9.5851 101.64 102.78 108.27
Last column: nearest neighbours and their distance in Å.
Element x y z (fractional)
Cs 0.0000 0.0000 0.0000  5 Bi 3.89-4.25, 1 Zn 3.93
Cs 0.0376 0.6281 0.4831  4 Zn 3.70-3.99, 3 Bi 4.03-4.12
Zn 0.3155 0.1648 0.4912  2 Zn 2.62-2.86, 3 Bi 2.73-2.86
Zn 0.9403 0.2076 0.6517  2 Zn 2.62-2.86, 3 Bi 2.73-2.88
Bi 0.6000 0.3657 0.8043  3 Zn 2.73-2.86
Bi 0.6532 0.0067 0.3361  3 Zn 2.73-2.88



Entry 5:
Crystalline Cu2Sb2Pt at its relaxed geometry, computed with PBE.

Properties
As for the space-group type: P4/mbm, No. 127. As for the crystal system: tetragonal. Its density of states at the Fermi level is 2.2 states/eV/f.u. The calculation puts the raw formation energy at 0.16 eV per atom.

Lattice parameters (Å, degrees): 7.2337 7.2337 3.7007 90.00 90.00 90.00
Last column: nearest neighbours and their distance in Å.
Element x y z (fractional)
Cu 0.1223 0.3777 0.0000  1 Cu 2.50, 2 Sb 2.80
Cu 0.3777 0.8777 0.0000  1 Cu 2.50, 2 Sb 2.80
Cu 0.6223 0.1223 0.0000  1 Cu 2.50, 2 Sb 2.80
Cu 0.8777 0.6223 0.0000  1 Cu 2.50, 2 Sb 2.80
Sb 0.1728 0.6728 0.5000  2 Pt 2.68, 6 Cu 2.80-2.85
Sb 0.3272 0.1728 0.5000  2 Pt 2.68, 6 Cu 2.80-2.85
Sb 0.6728 0.8272 0.5000  2 Pt 2.68, 6 Cu 2.80-2.85
Sb 0.8272 0.3272 0.5000  2 Pt 2.68, 6 Cu 2.80-2.85
Pt 0.0000 0.0000 0.5000  4 Sb 2.68
Pt 0.5000 0.5000 0.5000  4 Sb 2.68



Entry 6:
Crystalline Na3GaPd at its relaxed geometry, computed with PBE.

Properties
The calculated formation energy comes out at 0.2547 eV/atom. As for the space-group type: Pm-3m, No. 221. As for the crystal system: cubic. Its density of states at the Fermi level is 2.9 states/eV/f.u.

Lattice parameters (Å, degrees): 5.3801 5.3801 5.3801 90.00 90.00 90.00
Last column: nearest neighbours and their distance in Å.
Element x y z (fractional)
Na 0.0000 0.0000 0.5000  2 Pd 2.69
Na 0.0000 0.5000 0.0000  2 Pd 2.69
Na 0.5000 0.0000 0.0000  2 Pd 2.69
Ga 0.5000 0.5000 0.5000  12 Na 3.80
Pd 0.0000 0.0000 0.0000  6 Na 2.69



Entry 7:
Crystalline Ta2NbZn at its relaxed geometry, computed with PBE.

Properties
The calculated formation energy comes out at -0.0169 eV/atom. As for the space-group type: P2_1/m, No. 11. As for the crystal system: monoclinic. Its density of states at the Fermi level is 3.7 states/eV/f.u.

Lattice parameters (Å, degrees): 2.8569 4.6765 10.5256 90.00 96.94 90.00
Last column: nearest neighbours and their distance in Å.
Element x y z (fractional)
Ta 0.0716 0.2500 0.1898  1 Zn 2.72, 5 Ta 2.84-2.87, 2 Nb 2.85
Ta 0.3693 0.7500 0.0700  7 Ta 2.84-2.91, 1 Nb 2.88
Ta 0.6307 0.2500 0.9300  7 Ta 2.84-2.91, 1 Nb 2.88
Ta 0.9284 0.7500 0.8102  1 Zn 2.72, 5 Ta 2.84-2.87, 2 Nb 2.85
Nb 0.1424 0.2500 0.6738  6 Zn 2.82-3.13, 3 Ta 2.85-2.88, 2 Nb 2.86
Nb 0.8576 0.7500 0.3262  6 Zn 2.82-3.13, 3 Ta 2.85-2.88, 2 Nb 2.86
Zn 0.4795 0.7500 0.5668  1 Ta 2.72, 4 Zn 2.74-2.86, 4 Nb 2.82-2.91
Zn 0.5205 0.2500 0.4332  1 Ta 2.72, 4 Zn 2.74-2.86, 4 Nb 2.82-2.91



Entry 8:
Crystalline Pm2PrHoEr2 at its relaxed geometry, computed with PBE.

Properties
The calculated formation energy comes out at 0.0655 eV/atom. As for the space-group type: Pnnm, No. 58. As for the crystal system: orthorhombic. Its density of states at the Fermi level is 9.1 states/eV/f.u.

Lattice parameters (Å, degrees): 7.0228 9.8547 5.6599 90.00 90.00 90.00
Last column: nearest neighbours and their distance in Å.
Element x y z (fractional)
Pm 0.2475 0.1666 0.0000  5 Er 3.27-3.53
Pm 0.2525 0.6666 0.5000  5 Er 3.27-3.53
Pm 0.7475 0.3334 0.5000  5 Er 3.27-3.53
Pm 0.7525 0.8334 0.0000  5 Er 3.27-3.53
Pr 0.0000 0.5000 0.0000  2 Ho 3.51, 6 Er 3.71-3.72, 6 Pm 3.72
Pr 0.5000 0.0000 0.5000  2 Ho 3.51, 6 Er 3.71-3.72, 6 Pm 3.72
Ho 0.0000 0.0000 0.5000  2 Pr 3.51, 6 Pm 3.70-3.73, 6 Er 3.71-3.72
Ho 0.5000 0.5000 0.0000  2 Pr 3.51, 6 Pm 3.70-3.73, 6 Er 3.71-3.72
Er 0.2501 0.3332 0.5000  5 Pm 3.27-3.53
Er 0.2499 0.8332 0.0000  5 Pm 3.27-3.53
Er 0.7501 0.1668 0.0000  5 Pm 3.27-3.53
Er 0.7499 0.6668 0.5000  5 Pm 3.27-3.53



Entry 9:
Crystalline SrHoPtAu at its relaxed geometry, computed with PBE.

Properties
The calculated formation energy comes out at -0.8108 eV/atom. As for the space-group type: F-43m, No. 216. As for the crystal system: cubic. Its density of states at the Fermi level is 2.3 states/eV/f.u.

Lattice parameters (Å, degrees): 5.1295 5.1295 5.1295 60.00 60.00 60.00
Last column: nearest neighbours and their distance in Å.
Element x y z (fractional)
Sr 0.0000 0.0000 0.0000  4 Pt 3.14, 4 Au 3.14
Ho 0.5000 0.5000 0.5000  4 Pt 3.14, 4 Au 3.14
Pt 0.7500 0.7500 0.7500  4 Ho 3.14, 4 Sr 3.14
Au 0.2500 0.2500 0.2500  4 Ho 3.14, 4 Sr 3.14



Entry 10:
Crystalline Ba2SrSi at its relaxed geometry, computed with PBE.

Properties
As for the space-group type: Amm2, No. 38. As for the crystal system: orthorhombic. Its density of states at the Fermi level is 3.1 states/eV/f.u. The calculation puts the raw formation energy at -0.08 eV per atom.

Lattice parameters (Å, degrees): 4.5144 8.6949 8.6949 34.59 90.00 90.00
Last column: nearest neighbours and their distance in Å.
Element x y z (fractional)
Ba 0.0000 0.0000 0.0000  1 Si 3.21
Ba 0.5000 0.3452 0.3452  4 Si 3.49, 2 Sr 3.88
Sr 0.5000 0.6712 0.6712  2 Si 3.18
Si 0.0000 0.8065 0.8065  2 Sr 3.18, 5 Ba 3.21-3.49